Record 1
This record from the Alexandria database describes crystalline Nb2As at its relaxed geometry. The functional is PBE.

## Properties
E_tot: -8.56 eV per atom
formation energy from the elements: -0.294 eV per atom

Cell and atoms, written as POSCAR:
```
Nb2As
1.0
3.513 0.000 0.000
0.000 4.255 -1.410
0.000 -0.071 6.911
As Nb
2 4
Direct
0.000 0.844 0.688 As
0.000 0.156 0.312 As
0.500 0.681 0.361 Nb
0.500 0.000 0.000 Nb
0.500 0.319 0.639 Nb
0.000 0.500 0.000 Nb
```

Record 2
This record from the Alexandria database describes crystalline Nb5As2 at its relaxed geometry. The functional is PBE.

## Properties
E_tot: -8.85 eV per atom
formation energy from the elements: -0.328 eV per atom

Cell and atoms, written as POSCAR:
```
Nb5As2
1.0
5.306 0.000 0.000
0.000 6.423 0.207
-2.653 -0.791 7.312
As Nb
4 10
Direct
0.547 0.929 0.775 As
0.228 0.429 0.775 As
0.453 0.071 0.225 As
0.772 0.571 0.225 As
0.220 0.432 0.196 Nb
0.975 0.932 0.196 Nb
0.636 0.250 0.000 Nb
0.399 0.220 0.538 Nb
0.780 0.568 0.804 Nb
0.861 0.280 0.462 Nb
0.139 0.720 0.538 Nb
0.364 0.750 0.000 Nb
0.601 0.780 0.462 Nb
0.025 0.068 0.804 Nb
```

Record 3
This record from the Alexandria database describes crystalline Nb2As3 at its relaxed geometry. The functional is PBE.

## Properties
E_tot: -7.19 eV per atom
formation energy from the elements: -0.376 eV per atom

Cell and atoms, written as POSCAR:
```
Nb2As3
1.0
-0.402 -0.273 3.373
-0.639 -6.071 -0.567
9.673 1.855 1.304
Nb As
4 6
Direct
0.250 0.902 0.355 Nb
0.750 0.098 0.645 Nb
0.250 0.749 0.007 Nb
0.750 0.251 0.993 Nb
0.250 0.967 0.809 As
0.750 0.509 0.827 As
0.250 0.312 0.527 As
0.750 0.688 0.473 As
0.250 0.491 0.173 As
0.750 0.033 0.191 As
```

Record 4
This record from the Alexandria database describes crystalline NbAs at its relaxed geometry. The functional is PBE.

## Properties
E_tot: -6.99 eV per atom
formation energy from the elements: 0.366 eV per atom

Cell and atoms, written as POSCAR:
```
NbAs
1.0
-1.615 0.870 6.898
2.545 -6.517 1.417
6.471 2.780 1.164
As Nb
6 6
Direct
0.750 0.500 0.000 As
0.000 0.750 0.500 As
0.250 0.500 0.000 As
0.500 0.000 0.250 As
0.000 0.250 0.500 As
0.500 0.000 0.750 As
0.000 0.500 0.750 Nb
0.750 0.000 0.500 Nb
0.500 0.750 0.000 Nb
0.000 0.500 0.250 Nb
0.500 0.250 0.000 Nb
0.250 0.000 0.500 Nb
```

Record 5
This record from the Alexandria database describes crystalline NbAs at its relaxed geometry. The functional is PBE.

## Properties
E_tot: -7.65 eV per atom
formation energy from the elements: -0.288 eV per atom

Cell and atoms, written as POSCAR:
```
NbAs
1.0
3.680 0.000 0.000
0.000 9.516 0.000
0.000 0.000 6.646
Nb As
6 6
Direct
0.500 0.500 0.924 Nb
0.000 0.771 0.469 Nb
0.000 0.229 0.469 Nb
0.000 0.729 0.969 Nb
0.500 0.000 0.424 Nb
0.000 0.271 0.969 Nb
0.000 0.000 0.147 As
0.500 0.848 0.747 As
0.500 0.652 0.247 As
0.500 0.348 0.247 As
0.000 0.500 0.647 As
0.500 0.152 0.747 As
```

Record 6
This record from the Alexandria database describes crystalline Nb3As at its relaxed geometry. The functional is PBE.

## Properties
E_tot: -8.54 eV per atom
formation energy from the elements: 0.176 eV per atom

Cell and atoms, written as POSCAR:
```
Nb3As
1.0
3.347 0.000 0.000
0.000 2.802 0.000
0.000 0.000 8.010
Nb As
3 1
Direct
0.500 0.500 0.171 Nb
0.500 0.000 0.722 Nb
0.000 0.500 0.463 Nb
0.000 0.000 0.978 As
```

Record 7
This record from the Alexandria database describes crystalline NbAs at its relaxed geometry. The functional is PBE.

## Properties
E_tot: -7.24 eV per atom
formation energy from the elements: 0.117 eV per atom

Cell and atoms, written as POSCAR:
```
NbAs
1.0
-0.514 1.246 -7.900
5.769 -5.426 -1.231
-5.540 -5.766 -0.549
As Nb
8 8
Direct
0.684 0.684 0.684 As
0.184 0.184 0.184 As
0.816 0.816 0.184 As
0.816 0.184 0.816 As
0.684 0.316 0.316 As
0.316 0.684 0.316 As
0.184 0.816 0.816 As
0.316 0.316 0.684 As
0.128 0.128 0.872 Nb
0.872 0.872 0.872 Nb
0.872 0.128 0.128 Nb
0.128 0.872 0.128 Nb
0.372 0.372 0.372 Nb
0.628 0.628 0.372 Nb
0.372 0.628 0.628 Nb
0.628 0.372 0.628 Nb
```

Record 8
This record from the Alexandria database describes crystalline NbAs at its relaxed geometry. The functional is PBE.

## Properties
E_tot: -7.99 eV per atom
formation energy from the elements: -0.626 eV per atom

Cell and atoms, written as POSCAR:
```
NbAs
1.0
3.502 0.000 0.000
-1.751 4.689 0.000
0.000 0.000 12.721
As Nb
6 6
Direct
0.328 0.657 0.250 As
0.358 0.717 0.954 As
0.642 0.283 0.454 As
0.642 0.283 0.046 As
0.672 0.343 0.750 As
0.358 0.717 0.546 As
0.621 0.242 0.250 Nb
0.073 0.145 0.611 Nb
0.927 0.855 0.111 Nb
0.073 0.145 0.889 Nb
0.927 0.855 0.389 Nb
0.379 0.758 0.750 Nb
```

Record 9
This record from the Alexandria database describes crystalline NbAs at its relaxed geometry. The functional is PBE.

## Properties
E_tot: -7.44 eV per atom
formation energy from the elements: -0.080 eV per atom

Cell and atoms, written as POSCAR:
```
NbAs
1.0
-4.886 6.580 4.404
0.909 -8.444 3.797
3.137 1.138 1.780
As Nb
6 6
Direct
0.031 0.326 0.750 As
0.705 0.031 0.250 As
0.674 0.705 0.750 As
0.326 0.295 0.250 As
0.295 0.969 0.750 As
0.969 0.674 0.250 As
0.490 0.139 0.250 Nb
0.648 0.510 0.250 Nb
0.861 0.352 0.250 Nb
0.139 0.648 0.750 Nb
0.510 0.861 0.750 Nb
0.352 0.490 0.750 Nb
```

Record 10
This record from the Alexandria database describes crystalline NbAs at its relaxed geometry. The functional is PBE.

## Properties
E_tot: -7.50 eV per atom
formation energy from the elements: -0.145 eV per atom

Cell and atoms, written as POSCAR:
```
NbAs
1.0
9.576 0.000 0.000
0.000 9.576 0.000
0.000 0.000 3.405
As Nb
8 8
Direct
0.411 0.679 0.000 As
0.179 0.089 0.500 As
0.821 0.911 0.500 As
0.589 0.321 0.000 As
0.321 0.411 0.000 As
0.089 0.821 0.500 As
0.679 0.589 0.000 As
0.911 0.179 0.500 As
0.133 0.624 0.000 Nb
0.876 0.633 0.500 Nb
0.633 0.124 0.500 Nb
0.376 0.133 0.000 Nb
0.867 0.376 0.000 Nb
0.124 0.367 0.500 Nb
0.367 0.876 0.500 Nb
0.624 0.867 0.000 Nb
```

Record 11
This record from the Alexandria database describes crystalline Nb5As3 at its relaxed geometry. The functional is PBE.

## Properties
E_tot: -8.63 eV per atom
formation energy from the elements: -0.588 eV per atom

Cell and atoms, written as POSCAR:
```
Nb5As3
1.0
3.538 0.000 0.000
0.000 11.881 0.000
0.000 0.000 26.309
As Nb
24 40
Direct
0.750 0.081 0.427 As
0.750 0.249 0.549 As
0.750 0.693 0.844 As
0.750 0.251 0.049 As
0.250 0.751 0.451 As
0.250 0.496 0.280 As
0.750 0.253 0.302 As
0.250 0.747 0.698 As
0.750 0.996 0.220 As
0.750 0.948 0.077 As
0.250 0.307 0.156 As
0.250 0.919 0.573 As
0.250 0.749 0.951 As
0.750 0.419 0.927 As
0.250 0.052 0.923 As
0.250 0.004 0.780 As
0.750 0.807 0.344 As
0.250 0.753 0.198 As
0.250 0.581 0.073 As
0.250 0.193 0.656 As
0.750 0.504 0.720 As
0.750 0.247 0.802 As
0.750 0.552 0.577 As
0.250 0.448 0.423 As
0.750 0.444 0.349 Nb
0.250 0.880 0.276 Nb
0.750 0.304 0.454 Nb
0.250 0.155 0.239 Nb
0.250 0.960 0.677 Nb
0.750 0.604 0.998 Nb
0.750 0.788 0.623 Nb
0.750 0.917 0.967 Nb
0.250 0.417 0.533 Nb
0.750 0.655 0.261 Nb
0.750 0.896 0.498 Nb
0.750 0.120 0.724 Nb
0.250 0.212 0.377 Nb
0.250 0.804 0.046 Nb
0.750 0.433 0.102 Nb
0.750 0.380 0.224 Nb
0.750 0.056 0.849 Nb
0.750 0.583 0.467 Nb
0.250 0.083 0.033 Nb
0.250 0.540 0.177 Nb
0.250 0.620 0.776 Nb
0.250 0.104 0.502 Nb
0.750 0.067 0.602 Nb
0.750 0.460 0.823 Nb
0.750 0.147 0.137 Nb
0.250 0.556 0.651 Nb
0.250 0.288 0.877 Nb
0.250 0.396 0.002 Nb
0.250 0.647 0.363 Nb
0.250 0.853 0.863 Nb
0.750 0.040 0.323 Nb
0.750 0.712 0.123 Nb
0.250 0.567 0.898 Nb
0.250 0.696 0.546 Nb
0.250 0.933 0.398 Nb
0.750 0.196 0.954 Nb
0.250 0.944 0.151 Nb
0.750 0.353 0.637 Nb
0.750 0.845 0.761 Nb
0.250 0.345 0.739 Nb
```

Record 12
This record from the Alexandria database describes crystalline NbAs at its relaxed geometry. The functional is PBE.

## Properties
E_tot: -7.40 eV per atom
formation energy from the elements: -0.040 eV per atom

Cell and atoms, written as POSCAR:
```
NbAs
1.0
10.566 0.000 0.000
0.000 10.566 0.000
0.000 0.000 3.936
As Nb
8 8
Direct
0.943 0.295 0.000 As
0.057 0.705 0.000 As
0.281 0.428 0.500 As
0.295 0.057 0.000 As
0.572 0.281 0.500 As
0.719 0.572 0.500 As
0.705 0.943 0.000 As
0.428 0.719 0.500 As
0.873 0.546 0.000 Nb
0.653 0.800 0.500 Nb
0.347 0.200 0.500 Nb
0.127 0.454 0.000 Nb
0.800 0.347 0.500 Nb
0.454 0.873 0.000 Nb
0.546 0.127 0.000 Nb
0.200 0.653 0.500 Nb
```

Record 13
This record from the Alexandria database describes crystalline NbAs at its relaxed geometry. The functional is PBE.

## Properties
E_tot: -7.28 eV per atom
formation energy from the elements: 0.079 eV per atom

Cell and atoms, written as POSCAR:
```
NbAs
1.0
-2.294 2.490 -0.048
-0.795 -3.059 -1.216
-2.688 -2.328 7.617
Nb As
2 2
Direct
0.667 0.333 0.192 Nb
0.333 0.667 0.692 Nb
0.667 0.333 0.890 As
0.333 0.667 0.390 As
```

Record 14
This record from the Alexandria database describes crystalline NbAs at its relaxed geometry. The functional is PBE.

## Properties
E_tot: -7.08 eV per atom
formation energy from the elements: 0.280 eV per atom

Cell and atoms, written as POSCAR:
```
NbAs
1.0
5.818 0.000 0.000
0.000 5.818 0.000
0.000 0.000 5.818
Nb As
4 4
Direct
0.500 0.000 0.500 Nb
0.500 0.500 0.000 Nb
0.000 0.500 0.500 Nb
0.000 0.000 0.000 Nb
0.750 0.750 0.250 As
0.250 0.750 0.750 As
0.250 0.250 0.250 As
0.750 0.250 0.750 As
```

Record 15
This record from the Alexandria database describes crystalline Nb3As at its relaxed geometry. The functional is PBE.

## Properties
E_tot: -9.04 eV per atom
formation energy from the elements: -0.327 eV per atom

Cell and atoms, written as POSCAR:
```
Nb3As
1.0
3.487 0.000 0.000
0.000 6.536 -0.649
0.000 -1.997 6.485
Nb As
6 2
Direct
0.750 0.301 0.379 Nb
0.250 0.699 0.621 Nb
0.750 0.595 0.892 Nb
0.250 0.937 0.156 Nb
0.250 0.405 0.108 Nb
0.750 0.063 0.844 Nb
0.250 0.270 0.665 As
0.750 0.730 0.335 As
```

Record 16
This record from the Alexandria database describes crystalline NbAs at its relaxed geometry. The functional is PBE.

## Properties
E_tot: -7.83 eV per atom
formation energy from the elements: -0.473 eV per atom

Cell and atoms, written as POSCAR:
```
NbAs
1.0
3.362 0.000 -0.009
0.000 4.494 0.000
-1.665 0.000 4.792
Nb As
2 2
Direct
0.093 0.750 0.187 Nb
0.907 0.250 0.813 Nb
0.619 0.250 0.238 As
0.381 0.750 0.762 As
```

Record 17
This record from the Alexandria database describes crystalline Nb4As3 at its relaxed geometry. The functional is PBE.

## Properties
E_tot: -8.36 eV per atom
formation energy from the elements: -0.616 eV per atom

Cell and atoms, written as POSCAR:
```
Nb4As3
1.0
7.613 -0.004 0.000
-6.790 3.444 0.000
0.000 0.000 18.907
As Nb
12 16
Direct
0.307 0.693 0.250 As
0.901 0.099 0.382 As
0.843 0.157 0.578 As
0.157 0.843 0.078 As
0.157 0.843 0.422 As
0.099 0.901 0.882 As
0.586 0.414 0.250 As
0.414 0.586 0.750 As
0.843 0.157 0.922 As
0.693 0.307 0.750 As
0.099 0.901 0.618 As
0.901 0.099 0.118 As
0.946 0.054 0.250 Nb
0.737 0.263 0.161 Nb
0.263 0.737 0.661 Nb
0.468 0.532 0.619 Nb
0.330 0.670 0.473 Nb
0.468 0.532 0.881 Nb
0.330 0.670 0.027 Nb
0.670 0.330 0.527 Nb
0.670 0.330 0.973 Nb
0.000 0.000 0.500 Nb
0.263 0.737 0.839 Nb
0.532 0.468 0.381 Nb
0.000 0.000 0.000 Nb
0.054 0.946 0.750 Nb
0.532 0.468 0.119 Nb
0.737 0.263 0.339 Nb
```

Record 18
This record from the Alexandria database describes crystalline NbAs2 at its relaxed geometry. The functional is PBE.

## Properties
E_tot: -7.00 eV per atom
formation energy from the elements: -0.542 eV per atom

Cell and atoms, written as POSCAR:
```
NbAs2
1.0
-2.942 2.540 3.181
-1.900 -0.365 4.635
3.524 4.123 5.709
Nb As
2 4
Direct
0.843 0.843 0.196 Nb
0.157 0.157 0.804 Nb
0.141 0.141 0.472 As
0.859 0.859 0.528 As
0.405 0.405 0.893 As
0.595 0.595 0.107 As
```

Record 19
This record from the Alexandria database describes crystalline NdNbAs at its relaxed geometry. The functional is PBE.

## Properties
E_tot: -7.12 eV per atom
formation energy from the elements: -0.625 eV per atom

Cell and atoms, written as POSCAR:
```
NdNbAs
1.0
-2.768 2.429 1.099
-1.898 -5.236 0.073
3.159 0.541 6.762
Nd As Nb
2 2 2
Direct
0.108 0.215 0.811 Nd
0.892 0.785 0.189 Nd
0.819 0.638 0.769 As
0.181 0.362 0.231 As
0.635 0.270 0.456 Nb
0.365 0.730 0.544 Nb
```